# 1
First-principles (GGA-PBE) data for Sr2Nd2Tl3 after structural relaxation, as listed in Alexandria via LeMat-Bulk.

Output
- E_form: -27 kJ per mole of atoms
- DOS at the Fermi energy: 1.05 states/eV/atom
- Density: 7.2 Mg/m³

Cell lengths 5.500, 5.499, 9.956 Å; angles 90.00, 106.05, 119.99 degrees
Fractional positions:
Sr  0.255  0.128  0.383
Sr  0.745  0.872  0.617
Nd  0.753  0.377  0.130
Nd  0.247  0.623  0.870
Tl  0.000  0.000  0.000
Tl  0.509  0.254  0.762
Tl  0.491  0.746  0.238

***

# 2
First-principles (GGA-PBE) data for Tb3NdTm7 after structural relaxation, as listed in Alexandria via LeMat-Bulk.

Output
- Polymorph energy (0 for the lowest one): 0 meV per atom
- E_form: 15 kJ per mole of atoms
- DOS at the Fermi energy: 1.66 states/eV/atom
- Density: 8.5 Mg/m³

Cell lengths 8.797, 9.857, 5.473 Å; angles 90.03, 128.47, 105.08 degrees
Fractional positions:
Tb  0.222  0.005  0.722
Tb  0.000  0.500  0.000
Tb  0.778  0.995  0.278
Nd  0.500  0.500  0.500
Tm  0.927  0.831  0.927
Tm  0.822  0.642  0.322
Tm  0.650  0.290  0.150
Tm  0.350  0.710  0.850
Tm  0.500  0.000  0.500
Tm  0.178  0.358  0.678
Tm  0.073  0.169  0.073